PBE NbMoH3, relaxed; mass density = 7.171 g cm⁻³; electronic total energy = -5.784 eV/atom; volume = 44.43 Å³ per cell
1.0
3.542 0.000 0.000
0.000 3.542 0.000
0.000 0.000 3.542
H Mo Nb
3 1 1
Direct
0.000 0.500 0.000 H
0.000 0.000 0.500 H
0.500 0.000 0.000 H
0.500 0.500 0.500 Mo
0.000 0.000 0.000 Nb